Record 1
Entry from Alexandria via LeMat-Bulk: an optimized crystal structure of AcY3Pt8 (PBE).

Cell lengths 5.508, 5.508, 9.033 Å; angles 90.00, 90.00, 120.00 degrees
Fractional positions:
1 Ac 0.000 0.000 0.568
2 Y 0.667 0.333 0.421
3 Y 0.667 0.333 0.060
4 Y 0.000 0.000 0.945
5 Pt 0.333 0.667 0.500
6 Pt 0.333 0.667 0.000
7 Pt 0.503 0.005 0.757
8 Pt 0.503 0.497 0.757
9 Pt 0.995 0.497 0.757
10 Pt 0.165 0.331 0.246
11 Pt 0.165 0.835 0.246
12 Pt 0.669 0.835 0.246

Values from the calculation:
magnetic moment	0.0	μB/cell
formation energy	-1.016	eV/atom
VASP energy	-7.00	eV per atom

***

Record 2
Entry from Alexandria via LeMat-Bulk: an optimized crystal structure of Ac2YZn3Pt4 (PBE).

Cell lengths 4.318, 4.318, 11.737 Å; angles 90.00, 90.00, 90.00 degrees
Fractional positions:
1 Ac 0.500 0.000 0.227
2 Ac 0.000 0.500 0.773
3 Y 0.500 0.500 0.500
4 Zn 0.000 0.000 0.500
5 Zn 0.500 0.000 0.879
6 Zn 0.000 0.500 0.121
7 Pt 0.500 0.500 0.000
8 Pt 0.000 0.000 0.000
9 Pt 0.500 0.000 0.658
10 Pt 0.000 0.500 0.342

Values from the calculation:
magnetic moment	0.0	μB/cell
formation energy	-0.850	eV/atom
VASP energy	-5.12	eV per atom

***

Record 3
Entry from Alexandria via LeMat-Bulk: an optimized crystal structure of Ac4ZnPt (PBE).

Cell lengths 6.917, 7.667, 8.555 Å; angles 90.00, 108.06, 90.00 degrees
Fractional positions:
1 Ac 0.556 0.250 0.400
2 Ac 0.444 0.750 0.600
3 Ac 0.565 0.250 0.880
4 Ac 0.435 0.750 0.120
5 Ac 0.996 0.000 0.265
6 Ac 0.004 0.500 0.735
7 Ac 0.996 0.500 0.265
8 Ac 0.004 0.000 0.735
9 Zn 0.205 0.250 0.051
10 Zn 0.795 0.750 0.949
11 Pt 0.213 0.250 0.553
12 Pt 0.787 0.750 0.447

Values from the calculation:
magnetic moment	0.0	μB/cell
formation energy	-0.445	eV/atom
VASP energy	-4.40	eV per atom
polymorph energy (0 for the lowest one)	0.00	eV per formula unit